[1]
Density functional theory data (PBE) for an optimized crystal structure of Li2ZnTe2.

Cell: 8.5702 8.5702 3.1843 Å, 90.00 90.00 90.00°
Last column: nearest neighbours and their distance in Å.
Fractional positions:
Li 0.3702 0.1298 0.5000  6 Te 2.90-3.05, 3 Li 3.15-3.18
Li 0.8702 0.3702 0.5000  6 Te 2.90-3.05, 3 Li 3.15-3.18
Li 0.1298 0.6298 0.5000  6 Te 2.90-3.05, 3 Li 3.15-3.18
Li 0.6298 0.8702 0.5000  6 Te 2.90-3.05, 3 Li 3.15-3.18
Zn 0.0000 0.0000 0.0000  4 Te 3.18, 2 Zn 3.18
Zn 0.5000 0.5000 0.0000  4 Te 3.18, 2 Zn 3.18
Te 0.8296 0.6704 0.0000  6 Li 2.90-3.05, 2 Zn 3.18, 2 Te 3.18
Te 0.3296 0.8296 0.0000  6 Li 2.90-3.05, 2 Zn 3.18, 2 Te 3.18
Te 0.1704 0.3296 0.0000  6 Li 2.90-3.05, 2 Zn 3.18, 2 Te 3.18
Te 0.6704 0.1704 0.0000  6 Li 2.90-3.05, 2 Zn 3.18, 2 Te 3.18

Distance to the lowest polymorph of the same formula = 0.0 meV/atom
Total DFT energy (no corrections) = -2.723 eV/atom

=====

[2]
Density functional theory data (PBE) for an optimized crystal structure of LiZn2Te2.

Cell: 7.7907 7.7907 3.9548 Å, 90.00 90.00 90.00°
Last column: nearest neighbours and their distance in Å.
Fractional positions:
Li 0.5000 0.5000 0.0000  4 Te 2.81
Li 0.0000 0.0000 0.0000  4 Te 2.81
Zn 0.6198 0.8802 0.5000  1 Zn 2.64, 2 Te 2.82
Zn 0.1198 0.6198 0.5000  1 Zn 2.64, 2 Te 2.82
Zn 0.8802 0.3802 0.5000  1 Zn 2.64, 2 Te 2.82
Zn 0.3802 0.1198 0.5000  1 Zn 2.64, 2 Te 2.82
Te 0.3020 0.8020 0.0000  2 Li 2.81, 2 Zn 2.82
Te 0.1980 0.3020 0.0000  2 Li 2.81, 2 Zn 2.82
Te 0.6980 0.1980 0.0000  2 Li 2.81, 2 Zn 2.82
Te 0.8020 0.6980 0.0000  2 Li 2.81, 2 Zn 2.82

Distance to the lowest polymorph of the same formula = 0.0 meV/atom
Total DFT energy (no corrections) = -2.395 eV/atom

=====

[3]
Density functional theory data (PBE) for an optimized crystal structure of Li4ZnTe.

Cell: 5.4528 5.4528 5.4528 Å, 60.00 60.00 60.00°
Last column: nearest neighbours and their distance in Å.
Fractional positions:
Te 0.7500 0.7500 0.7500  12 Li 3.20, 4 Zn 3.34
Zn 0.0000 0.0000 0.0000  12 Li 3.20, 4 Te 3.34
Li 0.3744 0.3744 0.8768  6 Li 2.71-2.74
Li 0.3744 0.3744 0.3744  6 Li 2.71-2.74
Li 0.3744 0.8768 0.3744  6 Li 2.71-2.74
Li 0.8768 0.3744 0.3744  6 Li 2.71-2.74

Total DFT energy (no corrections) = -2.166 eV/atom

=====

Result set for energy relative to the elements, uncorrected: -0.4464; -0.2455; -0.1538 eV per atom, one per record in the order listed.